(1)
Ac2TbThAs4: relaxed, GGA-PBE.

Cell lengths 4.3615, 7.5280, 7.6082 Å; angles 109.31, 90.00, 90.00 degrees
With the nearest neighbours (Å) after each atom.
Element x y z (fractional)
As (0.0000, 0.7418, 0.2287)  2 Tb 3.00, 1 Th 3.01, 3 Ac 3.17-3.18
As (0.5000, 0.2450, 0.2294)  1 Tb 2.99, 2 Th 3.01, 3 Ac 3.17-3.19
As (0.5000, 0.7550, 0.7706)  1 Tb 2.99, 2 Th 3.01, 3 Ac 3.17-3.19
As (0.0000, 0.2582, 0.7713)  2 Tb 3.00, 1 Th 3.01, 3 Ac 3.17-3.18
Ac (0.0000, 0.5000, 0.5000)  6 As 3.17
Ac (0.5000, 0.0000, 0.5000)  6 As 3.18-3.19
Tb (0.5000, 0.5000, 0.0000)  6 As 2.99-3.00
Th (0.0000, 0.0000, 0.0000)  6 As 3.01

(2)
GaAg8Au5: relaxed, GGA-PBE.

Cell lengths 7.0056, 7.0056, 7.0056 Å; angles 110.25, 107.92, 110.25 degrees
With the nearest neighbours (Å) after each atom.
Element x y z (fractional)
Ag (0.5984, 0.4282, 0.8221)  1 Ga 2.59, 5 Au 2.74-2.89
Ag (0.1031, 0.7654, 0.9986)  1 Ga 2.78, 5 Au 2.90-3.10, 4 Ag 2.91-3.02
Ag (0.6623, 0.8956, 0.8969)  1 Ga 2.78, 5 Au 2.90-3.10, 4 Ag 2.91-3.02
Ag (0.3939, 0.5718, 0.1702)  1 Ga 2.59, 5 Au 2.74-2.89
Ag (0.0014, 0.1044, 0.7668)  1 Ga 2.78, 5 Au 2.90-3.10, 4 Ag 2.91-3.02
Ag (0.2332, 0.2346, 0.3377)  1 Ga 2.78, 5 Au 2.90-3.10, 4 Ag 2.91-3.02
Ag (0.1779, 0.7762, 0.6061)  1 Ga 2.59, 5 Au 2.74-2.89
Ag (0.8298, 0.2238, 0.4016)  1 Ga 2.59, 5 Au 2.74-2.89
Ga (0.2500, 0.5000, 0.7500)  8 Ag 2.59-2.78
Au (0.9477, 0.4073, 0.1262)  8 Ag 2.79-2.96, 2 Au 3.01
Au (0.5000, 0.0000, 0.5000)  4 Ag 2.74
Au (0.4596, 0.1785, 0.0523)  8 Ag 2.79-2.96, 2 Au 3.01
Au (0.8738, 0.8215, 0.2811)  8 Ag 2.79-2.96, 2 Au 3.01
Au (0.7189, 0.5927, 0.5404)  8 Ag 2.79-2.96, 2 Au 3.01

(3)
ZrMo: relaxed, GGA-PBE.

Its excess energy over the best structure of this formula in the dataset is 2.433 eV per atom.

Cell lengths 4.2813, 4.2813, 4.2813 Å; angles 60.00, 60.00, 60.00 degrees
With the nearest neighbours (Å) after each atom.
Element x y z (fractional)
Mo (0.0000, 0.0000, 0.0000)  4 Zr 2.62
Zr (0.7500, 0.7500, 0.7500)  4 Mo 2.62

Number 1: formation energy -142.3 kJ per mole of atoms, DOS at the Fermi energy 0.223 states/eV/atom. Number 2: formation energy 6.7 kJ per mole of atoms, DOS at the Fermi energy 0.435 states/eV/atom. Number 3: formation energy 230.7 kJ per mole of atoms, DOS at the Fermi energy 2.051 states/eV/atom.